# Hg2POs

A relaxed structure of Hg2POs (PBE-GGA, Alexandria via LeMat-Bulk).

a = 2.880 Å, b = 4.700 Å, c = 5.404 Å
α = 90.00°, β = 90.00°, γ = 90.00°
Space group Pmmm (No. 47)
Symmetry-distinct sites (fractional):
Hg  0.000  0.000  0.248 [2 per cell]
P  0.500  0.500  0.500 [1 per cell]
Os  0.500  0.500  0.000 [1 per cell]

Formation energy ... 1.0089 eV/atom
Fermi-level density of states ... 3.22 states/eV/cell
Spin magnetization ... 0.0 μB per formula unit